Entry 1:
Re2SbBr | PBE | relaxed

Properties
space group: Pmmm
energy relative to the elements, uncorrected: 1.32 eV per atom
E above lowest polymorph: 1083.5 meV per atom
VASP energy: -6.3509 eV per atom

Unit cell a=2.9834 b=5.3595 c=4.5600 alpha=90.00 beta=90.00 gamma=90.00
Each line ends with the local moment (μB).
Fractional positions:
Re1 0.0000 0.0000 0.0000  0.10
Re2 0.5000 0.5000 0.0000  0.23
Br1 0.0000 0.5000 0.5000  0.01
Sb1 0.5000 0.0000 0.5000  0.00

Entry 2:
TcCl | PBE | relaxed

Properties
space group: Imma
energy relative to the elements, uncorrected: 0.11 eV per atom
E above lowest polymorph: 231.5 meV per atom
VASP energy: -6.0013 eV per atom

Unit cell a=9.0144 b=9.0144 c=9.0144 alpha=159.25 beta=160.58 gamma=28.57
Fractional positions:
Cl1 0.9855 0.9855 0.0000
Cl2 0.2645 0.7645 0.5000
Tc1 0.5791 0.5791 0.0000
Tc2 0.6709 0.1709 0.5000

Entry 3:
BaCd6Pd | PBE | relaxed

Properties
energy relative to the elements: -0.244 eV per atom
space group: P4/mmm
E above lowest polymorph: 0.0 meV per atom
VASP energy: -1.8201 eV per atom

Unit cell a=4.7920 b=4.7920 c=9.2572 alpha=90.00 beta=90.00 gamma=90.00
Fractional positions:
Ba1 0.0000 0.0000 0.0000
Cd1 0.5000 0.0000 0.6613
Cd2 0.0000 0.5000 0.6613
Cd3 0.5000 0.5000 0.1542
Cd4 0.5000 0.5000 0.8458
Cd5 0.0000 0.5000 0.3387
Cd6 0.5000 0.0000 0.3387
Pd1 0.0000 0.0000 0.5000

Entry 4:
Cu2As | PBE | relaxed

Properties
energy relative to the elements: 0.090 eV per atom
space group: C2/m
VASP energy: -4.1904 eV per atom

Unit cell a=5.1140 b=5.1140 c=6.8868 alpha=63.90 beta=63.90 gamma=31.97
Fractional positions:
Cu1 0.3529 0.3529 0.5257
Cu2 0.6511 0.6511 0.8443
Cu3 0.3489 0.3489 0.1557
Cu4 0.6471 0.6471 0.4743
As1 0.0673 0.0673 0.2064
As2 0.9327 0.9327 0.7936

Entry 5:
HgBiOsF2 | PBE | relaxed

Properties
space group: P4/mmm
energy relative to the elements, uncorrected: 0.29 eV per atom
VASP energy: -3.5445 eV per atom

Unit cell a=4.2085 b=6.8590 c=4.2085 alpha=90.00 beta=90.00 gamma=90.00
Each line ends with the local moment (μB).
Fractional positions:
F1 0.0000 0.0000 0.5000  0.00
F2 0.5000 0.0000 0.0000  0.00
Os1 0.5000 0.5000 0.5000  1.60
Bi1 0.0000 0.5000 0.0000  -0.11
Hg1 0.0000 0.0000 0.0000  -0.01

Entry 6:
Pm2MgSnAu6 | PBE | relaxed

Properties
energy relative to the elements: -0.506 eV per atom
space group: P-1
VASP energy: -3.9820 eV per atom

Unit cell a=7.2538 b=5.5018 c=6.4486 alpha=77.55 beta=82.77 gamma=112.59
Fractional positions:
Pm1 0.2964 0.8368 0.3459
Pm2 0.7036 0.1632 0.6541
Mg1 0.5000 0.5000 0.0000
Sn1 0.0000 0.0000 0.0000
Au1 0.2515 0.7203 0.8682
Au2 0.6764 0.6793 0.3488
Au3 0.0986 0.2665 0.3184
Au4 0.7485 0.2797 0.1318
Au5 0.3236 0.3207 0.6512
Au6 0.9014 0.7335 0.6816

Entry 7:
LaCe2Pm3Te6 | PBE | relaxed

Properties
space group: C2/m
energy relative to the elements, uncorrected: -1.43 eV per atom
VASP energy: -5.5896 eV per atom

Unit cell a=4.4742 b=9.0371 c=10.0519 alpha=103.11 beta=102.86 gamma=90.00
Each line ends with the local moment (μB).
Fractional positions:
La1 0.5000 0.0000 0.0000  0.03
Ce1 0.8321 0.6645 0.6643  0.99
Ce2 0.1679 0.3355 0.3357  0.99
Pm1 0.5000 0.5000 0.0000  0.01
Pm2 0.8351 0.1676 0.6702  0.01
Pm3 0.1649 0.8324 0.3298  0.01
Te1 0.3310 0.9163 0.6619  -0.01
Te2 0.6657 0.5849 0.3315  -0.01
Te3 0.6690 0.0837 0.3381  -0.01
Te4 0.0008 0.2553 0.0017  0.00
Te5 0.9992 0.7447 0.9983  0.00
Te6 0.3343 0.4151 0.6685  -0.01

Entry 8:
PrLuPd2 | PBE | relaxed

Properties
energy relative to the elements: -0.806 eV per atom
space group: Fm-3m
E above lowest polymorph: 25.6 meV per atom
VASP energy: -5.7275 eV per atom

Unit cell a=5.0266 b=5.0266 c=5.0266 alpha=60.00 beta=60.00 gamma=60.00
Fractional positions:
Pr1 0.5000 0.5000 0.5000
Lu1 0.0000 0.0000 0.0000
Pd1 0.2500 0.2500 0.2500
Pd2 0.7500 0.7500 0.7500

Entry 9:
Tb3Ho2Tl2 | PBE | relaxed

Properties
energy relative to the elements: -0.198 eV per atom
space group: C2/m
E above lowest polymorph: 0.0 meV per atom
VASP energy: -4.1662 eV per atom

Unit cell a=5.4070 b=5.4035 c=8.6246 alpha=108.27 beta=90.07 gamma=119.97
Fractional positions:
Tb1 0.5000 0.0000 0.0000
Tb2 0.6547 0.3094 0.4643
Tb3 0.3453 0.6906 0.5357
Ho1 0.9255 0.8514 0.2775
Ho2 0.0745 0.1486 0.7225
Tl1 0.7845 0.5687 0.8524
Tl2 0.2155 0.4313 0.1476

| no. | density of states at the Fermi level (states/eV/f.u.) | mass density (Mg/m³) |
| --- | --- | --- |
| 1 | 5.179 | 13.07 |
| 2 | 0.643 | 5.14 |
| 3 | 3.181 | 7.17 |
| 4 | 0.405 | 7.91 |
| 5 | 4.445 | 8.72 |
| 6 | 4.871 | 11.88 |
| 7 | 18.305 | 6.98 |
| 8 | 3.490 | 9.78 |
| 9 | 5.655 | 9.92 |